Crystalline ZrTlP at its relaxed geometry. Source: Alexandria, functional PBE.

abc: 6.0615 6.0615 6.0615
angles: 145.58 145.58 49.48
Fractional coordinates of all 3 atoms:
Zr  0.3898  0.3898  0.0000
P  0.9362  0.9362  0.0000
Tl  0.6739  0.6739  0.0000

- Electronic total energy: -5.921 eV/atom
- Polymorph energy (0 for the lowest one): 0.000 eV per atom
- N(E_F): 0.5487 states/eV per atom
- Energy relative to the elements: -0.480 eV/atom


Crystalline NiRuPt2 at its relaxed geometry. Source: Alexandria, functional PBE.

abc: 4.6831 4.6831 4.6914
angles: 80.11 80.11 34.08
Fractional coordinates of all 4 atoms:
Pt  0.9998  0.9998  0.0007
Pt  0.5002  0.5002  0.4993
Ni  0.2500  0.2500  0.2500
Ru  0.7500  0.7500  0.7500

- Electronic total energy: -6.745 eV/atom
- Polymorph energy (0 for the lowest one): 0.060 eV per atom
- N(E_F): 1.5436 states/eV per atom
- Energy relative to the elements: 0.040 eV/atom


Crystalline MgSbRh2 at its relaxed geometry. Source: Alexandria, functional PBE.

abc: 5.0334 5.0334 4.5119
angles: 76.20 76.20 36.77
Fractional coordinates of all 4 atoms:
Sb  0.4923  0.4923  0.5669
Mg  0.2554  0.2554  0.1821
Rh  0.7578  0.7578  0.6804
Rh  0.9944  0.9944  0.0706

- Electronic total energy: -5.568 eV/atom
- Uncorrected formation energy: -0.463 eV/atom
- N(E_F): 0.6881 states/eV per atom


Crystalline VCoNi3 at its relaxed geometry. Source: Alexandria, functional PBE.

abc: 4.2238 4.2238 4.2238
angles: 90.00 90.00 90.00
Last column: magnetic moment on the atom in μB.
Fractional coordinates of all 5 atoms:
Co  0.0000  0.0000  0.0000  1.80
Ni  0.0000  0.5000  0.0000  0.74
Ni  0.0000  0.0000  0.5000  0.74
Ni  0.5000  0.0000  0.0000  0.74
V  0.5000  0.5000  0.5000  2.37

- Electronic total energy: -5.705 eV/atom
- Polymorph energy (0 for the lowest one): 1.071 eV per atom
- N(E_F): 1.4592 states/eV per atom
- Energy relative to the elements: 1.009 eV/atom


Crystalline Np2GaSe6 at its relaxed geometry. Source: Alexandria, functional PBE.

abc: 6.3851 6.3851 12.5095
angles: 90.00 90.00 90.00
Last column: magnetic moment on the atom in μB.
Fractional coordinates of all 18 atoms:
Np  0.5000  0.5000  0.1670  3.10
Np  0.0000  0.0000  0.6670  3.10
Np  0.5000  0.5000  0.8330  3.10
Np  0.0000  0.0000  0.3330  3.10
Se  0.8005  0.1995  0.5000  -0.17
Se  0.3075  0.3075  0.3421  -0.16
Se  0.6925  0.6925  0.3421  -0.16
Se  0.1995  0.8005  0.5000  -0.17
Se  0.1925  0.8075  0.1579  -0.16
Se  0.6925  0.6925  0.6579  -0.16
Se  0.3005  0.3005  0.0000  -0.17
Se  0.3075  0.3075  0.6579  -0.16
Se  0.8075  0.1925  0.1579  -0.16
Se  0.8075  0.1925  0.8421  -0.16
Se  0.1925  0.8075  0.8421  -0.16
Se  0.6995  0.6995  0.0000  -0.17
Ga  0.0000  0.0000  0.0000  0.06
Ga  0.5000  0.5000  0.5000  0.06

- Electronic total energy: -6.213 eV/atom
- Uncorrected formation energy: -0.678 eV/atom
- N(E_F): 1.9326 states/eV per atom


Crystalline NaP2Au at its relaxed geometry. Source: Alexandria, functional PBE.

abc: 4.6397 4.6397 4.6397
angles: 60.00 60.00 60.00
Fractional coordinates of all 4 atoms:
P  0.2500  0.2500  0.2500
P  0.7500  0.7500  0.7500
Na  0.0000  0.0000  0.0000
Au  0.5000  0.5000  0.5000

- Electronic total energy: -3.514 eV/atom
- Polymorph energy (0 for the lowest one): 0.234 eV per atom
- N(E_F): 0.7727 states/eV per atom
- Energy relative to the elements: 0.340 eV/atom


Crystalline LiErGe4 at its relaxed geometry. Source: Alexandria, functional PBE.

abc: 5.5287 5.5287 5.5287
angles: 60.00 60.00 60.00
Fractional coordinates of all 6 atoms:
Er  0.2500  0.2500  0.2500
Li  0.0000  0.0000  0.0000
Ge  0.1241  0.6253  0.6253
Ge  0.6253  0.6253  0.6253
Ge  0.6253  0.6253  0.1241
Ge  0.6253  0.1241  0.6253

- Electronic total energy: -4.416 eV/atom
- N(E_F): 0.0157 states/eV per atom
- Energy relative to the elements: -0.259 eV/atom


Crystalline SiHg at its relaxed geometry. Source: Alexandria, functional PBE.

abc: 3.9009 3.9009 2.8238
angles: 90.00 90.00 90.00
Fractional coordinates of all 2 atoms:
Hg  0.0000  0.0000  0.0000
Si  0.5000  0.5000  0.0000

- Electronic total energy: -2.340 eV/atom
- Polymorph energy (0 for the lowest one): 0.377 eV per atom
- Uncorrected formation energy: 0.522 eV/atom
- N(E_F): 0.6623 states/eV per atom


Crystalline Dy3TmTh2Sb6 at its relaxed geometry. Source: Alexandria, functional PBE.

abc: 4.4296 8.8273 9.8796
angles: 102.88 102.95 90.00
Fractional coordinates of all 12 atoms:
Th  0.8354  0.6695  0.6707
Th  0.1646  0.3305  0.3293
Sb  0.3349  0.9243  0.6697
Sb  0.9970  0.2460  0.9939
Sb  0.0030  0.7540  0.0061
Sb  0.6652  0.5881  0.3303
Sb  0.6651  0.0757  0.3303
Sb  0.3348  0.4119  0.6697
Dy  0.5000  0.5000  0.0000
Dy  0.1677  0.8340  0.3355
Dy  0.8323  0.1660  0.6645
Tm  0.5000  0.0000  0.0000

- Electronic total energy: -5.871 eV/atom
- Uncorrected formation energy: -1.050 eV/atom
- N(E_F): 0.3753 states/eV per atom


Crystalline Dy5MgSb2 at its relaxed geometry. Source: Alexandria, functional PBE.

abc: 4.4567 6.2407 17.7351
angles: 90.00 90.00 110.92
Fractional coordinates of all 16 atoms:
Dy  0.9529  0.9059  0.8982
Dy  0.4983  0.9966  0.7500
Dy  0.0471  0.0941  0.1018
Dy  0.0471  0.0941  0.3982
Dy  0.3496  0.6993  0.0358
Dy  0.5017  0.0034  0.2500
Dy  0.6504  0.3007  0.9642
Dy  0.6504  0.3007  0.5358
Dy  0.9529  0.9059  0.6018
Dy  0.3496  0.6993  0.4642
Sb  0.2567  0.5134  0.6385
Sb  0.7433  0.4866  0.1385
Sb  0.2567  0.5134  0.8615
Sb  0.7433  0.4866  0.3615
Mg  0.7921  0.5843  0.7500
Mg  0.2079  0.4157  0.2500

- Electronic total energy: -4.481 eV/atom
- Uncorrected formation energy: -0.375 eV/atom
- N(E_F): 0.9463 states/eV per atom


Crystalline Tl3Rh2Pb8 at its relaxed geometry. Source: Alexandria, functional PBE.

abc: 5.3048 9.3152 9.3152
angles: 58.53 77.98 77.98
Fractional coordinates of all 13 atoms:
Pb  0.9490  0.1732  0.1732
Pb  0.4484  0.4361  0.8711
Pb  0.9823  0.6236  0.6236
Pb  0.4484  0.8711  0.4361
Pb  0.0510  0.8268  0.8268
Pb  0.0177  0.3764  0.3764
Pb  0.5516  0.1289  0.5639
Pb  0.5516  0.5639  0.1289
Tl  0.0000  0.7807  0.2193
Tl  0.0000  0.2193  0.7807
Tl  0.5000  0.0000  0.0000
Rh  0.5906  0.7708  0.7708
Rh  0.4094  0.2292  0.2292

- Electronic total energy: -3.934 eV/atom
- N(E_F): 0.5576 states/eV per atom
- Energy relative to the elements: 0.025 eV/atom


Crystalline Er5HgPb4 at its relaxed geometry. Source: Alexandria, functional PBE.

abc: 6.2712 7.5699 7.5699
angles: 80.12 65.53 65.53
Fractional coordinates of all 10 atoms:
Er  0.0657  0.5945  0.2160
Er  0.6290  0.0000  0.0000
Er  0.8762  0.4055  0.7840
Er  0.6602  0.2160  0.4055
Er  0.2817  0.7840  0.5945
Hg  0.1263  0.0000  0.0000
Pb  0.1818  0.1826  0.3894
Pb  0.5712  0.6106  0.1826
Pb  0.7538  0.8174  0.6106
Pb  0.3644  0.3894  0.8174

- Electronic total energy: -4.093 eV/atom
- N(E_F): 0.6191 states/eV per atom
- Energy relative to the elements: -0.298 eV/atom